[1]
This record from the Open Quantum Materials Database describes a relaxed AlTcNiPt crystal. The functional is PBE.

The energy relative to the lowest polymorph listed for this composition comes out at 0 meV per atom.

The space group is F-43m (No. 216) and the conventional cell measures 6.069, 6.069 and 6.069 Å, with angles of 90.00, 90.00 and 90.00 degrees. The asymmetric unit holds Al at (0.000, 0.000, 0.000), Tc at (0.250, 0.250, 0.750), Ni at (0.250, 0.250, 0.250) and Pt at (0.000, 0.000, 0.500).

***

[2]
This record from the Open Quantum Materials Database describes a relaxed NdN crystal. The functional is PBE.

For the final energy, the calculation gives -7.368 eV per atom.

The space group is Pmma (No. 51) and the conventional cell measures 6.639, 3.658 and 6.381 Å, with angles of 90.00, 90.00 and 90.00 degrees. The asymmetric unit holds Nd at (0.000, 0.000, 0.000), Nd at (0.250, 0.500, 0.495), N at (0.250, 0.000, 0.706) and N at (0.250, 0.500, 0.131).

***

[3]
This record from the Open Quantum Materials Database describes a relaxed Mo2I crystal. The functional is PBE.

The energy relative to the lowest polymorph listed for this composition comes out at 1890 meV per atom.

The space group is Fd-3m (No. 227, origin choice 2) and the conventional cell measures 12.607, 12.607 and 12.607 Å, with angles of 90.00, 90.00 and 90.00 degrees. The asymmetric unit holds Mo at (0.000, 0.000, 0.000) and I at (0.125, 0.125, 0.125).

***

[4]
This record from the Open Quantum Materials Database describes a relaxed BaLuZnAu crystal. The functional is PBE.

The energy relative to the lowest polymorph listed for this composition comes out at 0 meV per atom.

The space group is F-43m (No. 216) and the conventional cell measures 7.565, 7.565 and 7.565 Å, with angles of 90.00, 90.00 and 90.00 degrees. The asymmetric unit holds Ba at (0.000, 0.000, 0.000), Lu at (0.000, 0.000, 0.500), Zn at (0.250, 0.250, 0.750) and Au at (0.250, 0.250, 0.250).